(1)
ReSi2Au PBE-GGA relaxed; distance to the lowest polymorph of the same formula = 109 kJ/mol of formula units; space-group type = P4/mmm; formation energy from raw total energies = 265 meV per atom
1.0
4.277 0.029 0.000
-0.033 4.277 0.000
0.000 0.000 3.194
Re Si Au
1 2 1
direct
0.000 0.500 0.500
0.000 0.000 0.000
0.500 0.500 0.000
0.500 0.000 0.500

=====

(2)
LiInHg2 PBE-GGA relaxed; energy of formation from the pure elements = -0.64 eV per formula unit; space-group type = Imm2
1.0
-4.131 -2.854 -2.228
-2.113 -3.432 3.732
1.083 5.383 0.147
Hg In Li
2 1 1
direct
0.000 0.000 0.000
0.750 0.250 0.500
0.500 0.500 0.000
0.250 0.750 0.500

=====

(3)
CoSn6Ir PBE-GGA relaxed; energy of formation from the pure elements = 0.15 eV per formula unit; space-group type = C2/m
1.0
-5.807 1.696 -3.960
-4.502 -1.398 1.455
-2.856 4.484 3.835
Co Sn Ir
1 6 1
direct
0.500 0.500 0.000
0.257 0.566 0.365
0.743 0.069 0.365
0.747 0.738 0.000
0.253 0.262 0.000
0.257 0.931 0.635
0.743 0.434 0.635
0.000 0.000 0.000

=====

(4)
GdSc2Ta PBE-GGA relaxed; distance to the lowest polymorph of the same formula = 0 kJ/mol of formula units; energy of formation from the pure elements = 0.89 eV per formula unit; space-group type = P4/mmm
1.0
3.699 0.000 0.000
0.000 3.699 0.000
0.000 0.000 6.995
Sc Gd Ta
2 1 1
direct
0.000 0.000 0.793
0.000 0.000 0.207
0.500 0.500 0.500
0.500 0.500 0.000

=====

| no. | ρ (kg/m³) | calculated volume (A^3/atom) |
| --- | --- | --- |
| 1 | 12487 | 14.6 |
| 2 | 9682 | 22.4 |
| 3 | 8556 | 23.4 |
| 4 | 7429 | 23.9 |